# 1
TlInAg2: optimized geometry, PBE.

Crystal system = tetragonal
Calculated density = 9.918 g/cm3
Space-group type = I4/mmm
ΔH_f (0 K) = 0.1036 eV/atom

Unit cell a=5.2203 b=5.2203 c=5.2203 alpha=126.19 beta=126.16 gamma=79.60
Closest atoms and distances in Å follow each position.
Element x y z (fractional)
Tl: 0.7500 0.2500 0.5000  8 Ag 3.10, 4 In 3.34
Ag: 0.0000 0.0000 0.0000  4 Tl 3.10, 4 In 3.10, 4 Ag 3.34
Ag: 0.5000 0.5000 0.0000  4 Tl 3.10, 4 In 3.10, 4 Ag 3.34
In: 0.2500 0.7500 0.5000  8 Ag 3.10, 4 Tl 3.34

***

# 2
NdSm2Zn2Ag2: optimized geometry, PBE.

Crystal system = trigonal
Calculated density = 7.611 g/cm3
Space-group type = R-3m
ΔH_f (0 K) = -0.2207 eV/atom

Unit cell a=4.6807 b=4.6807 c=9.4945 alpha=75.73 beta=75.73 gamma=60.00
Closest atoms and distances in Å follow each position.
Element x y z (fractional)
Nd: 0.0000 0.0000 0.0000  6 Ag 3.27, 6 Zn 3.36, 2 Sm 3.41
Sm: 0.1248 0.1248 0.6257  3 Zn 3.05, 3 Ag 3.13, 1 Nd 3.41
Sm: 0.8752 0.8752 0.3743  3 Zn 3.05, 3 Ag 3.13, 1 Nd 3.41
Zn: 0.7396 0.7396 0.7813  3 Ag 2.71
Zn: 0.2604 0.2604 0.2187  3 Ag 2.71
Ag: 0.5995 0.5995 0.2016  3 Zn 2.71
Ag: 0.4005 0.4005 0.7984  3 Zn 2.71

***

# 3
K3NaNp3S8: optimized geometry, PBE.

Crystal system = trigonal
Calculated density = 4.430 g/cm3
Space-group type = R-3m
Raw formation energy = -1322.3 meV/atom

Unit cell a=8.0814 b=8.0813 c=8.7010 alpha=117.70 beta=90.00 gamma=120.00
Closest atoms and distances in Å follow each position.
Element x y z (fractional)
K: 0.0000 0.0000 0.0000  6 S 3.20-3.30
K: 0.0000 0.5000 0.0000  6 S 3.20-3.30
K: 0.5000 0.5000 0.0000  6 S 3.20-3.30
Na: 0.0000 0.0000 0.5000  6 S 2.88
Np: 0.5000 0.0000 0.5000  6 S 2.67-2.76
Np: 0.5000 0.5000 0.5000  6 S 2.67-2.76
Np: 0.0000 0.5000 0.5000  6 S 2.67-2.76
S: 0.2662 0.5323 0.2986  3 Np 2.76
S: 0.7338 0.4677 0.7014  3 Np 2.76
S: 0.7561 0.5123 0.3053  2 Np 2.67, 1 Na 2.88
S: 0.2439 0.4877 0.6947  2 Np 2.67, 1 Na 2.88
S: 0.7562 0.0489 0.3055  2 Np 2.67, 1 Na 2.88
S: 0.2438 0.9511 0.6945  2 Np 2.67, 1 Na 2.88
S: 0.2927 0.0489 0.3055  2 Np 2.67, 1 Na 2.88
S: 0.7073 0.9511 0.6945  2 Np 2.67, 1 Na 2.88

***

# 4
MgSc: optimized geometry, PBE.

Crystal system = orthorhombic
Calculated density = 2.317 g/cm3
Space-group type = Fddd
ΔH_f (0 K) = 0.2469 eV/atom

Unit cell a=8.0460 b=8.7432 c=11.2909 alpha=90.00 beta=90.00 gamma=90.00
Closest atoms and distances in Å follow each position.
Element x y z (fractional)
Mg: 0.1750 0.0000 0.0000  1 Mg 2.82, 6 Sc 2.95-3.15
Mg: 0.8250 0.0000 0.0000  1 Mg 2.82, 6 Sc 2.95-3.15
Mg: 0.0750 0.7500 0.2500  1 Mg 2.82, 6 Sc 2.95-3.15
Mg: 0.4250 0.7500 0.2500  1 Mg 2.82, 6 Sc 2.95-3.15
Mg: 0.1750 0.5000 0.5000  1 Mg 2.82, 6 Sc 2.95-3.15
Mg: 0.8250 0.5000 0.5000  1 Mg 2.82, 6 Sc 2.95-3.15
Mg: 0.0750 0.2500 0.7500  1 Mg 2.82, 6 Sc 2.95-3.15
Mg: 0.4250 0.2500 0.7500  1 Mg 2.82, 6 Sc 2.95-3.15
Mg: 0.6750 0.0000 0.5000  1 Mg 2.82, 6 Sc 2.95-3.15
Mg: 0.3250 0.0000 0.5000  1 Mg 2.82, 6 Sc 2.95-3.15
Mg: 0.5750 0.7500 0.7500  1 Mg 2.82, 6 Sc 2.95-3.15
Mg: 0.9250 0.7500 0.7500  1 Mg 2.82, 6 Sc 2.95-3.15
Mg: 0.6750 0.5000 0.0000  1 Mg 2.82, 6 Sc 2.95-3.15
Mg: 0.3250 0.5000 0.0000  1 Mg 2.82, 6 Sc 2.95-3.15
Mg: 0.5750 0.2500 0.2500  1 Mg 2.82, 6 Sc 2.95-3.15
Mg: 0.9250 0.2500 0.2500  1 Mg 2.82, 6 Sc 2.95-3.15
Sc: 0.0000 0.6780 0.0000  6 Mg 2.95-3.15, 1 Sc 3.11
Sc: 0.0000 0.3220 0.0000  6 Mg 2.95-3.15, 1 Sc 3.11
Sc: 0.2500 0.0720 0.2500  6 Mg 2.95-3.15, 1 Sc 3.11
Sc: 0.2500 0.4280 0.2500  6 Mg 2.95-3.15, 1 Sc 3.11
Sc: 0.0000 0.1780 0.5000  6 Mg 2.95-3.15, 1 Sc 3.11
Sc: 0.0000 0.8220 0.5000  6 Mg 2.95-3.15, 1 Sc 3.11
Sc: 0.2500 0.5720 0.7500  6 Mg 2.95-3.15, 1 Sc 3.11
Sc: 0.2500 0.9280 0.7500  6 Mg 2.95-3.15, 1 Sc 3.11
Sc: 0.5000 0.6780 0.5000  6 Mg 2.95-3.15, 1 Sc 3.11
Sc: 0.5000 0.3220 0.5000  6 Mg 2.95-3.15, 1 Sc 3.11
Sc: 0.7500 0.0720 0.7500  6 Mg 2.95-3.15, 1 Sc 3.11
Sc: 0.7500 0.4280 0.7500  6 Mg 2.95-3.15, 1 Sc 3.11
Sc: 0.5000 0.1780 0.0000  6 Mg 2.95-3.15, 1 Sc 3.11
Sc: 0.5000 0.8220 0.0000  6 Mg 2.95-3.15, 1 Sc 3.11
Sc: 0.7500 0.5720 0.2500  6 Mg 2.95-3.15, 1 Sc 3.11
Sc: 0.7500 0.9280 0.2500  6 Mg 2.95-3.15, 1 Sc 3.11

***

# 5
LaDy2Zn2Ge2: optimized geometry, PBE.

Crystal system = trigonal
Calculated density = 7.152 g/cm3
Space-group type = R-3m
ΔH_f (0 K) = -0.4647 eV/atom

Unit cell a=4.1773 b=4.1773 c=11.6229 alpha=79.65 beta=79.65 gamma=60.00
Closest atoms and distances in Å follow each position.
Element x y z (fractional)
La: 0.0000 0.0000 0.0000  6 Zn 3.21, 6 Ge 3.39
Dy: 0.1247 0.1247 0.6260  3 Ge 3.05, 3 Zn 3.22
Dy: 0.8753 0.8753 0.3740  3 Ge 3.05, 3 Zn 3.22
Zn: 0.6046 0.6046 0.1862  3 Ge 2.43
Zn: 0.3954 0.3954 0.8138  3 Ge 2.43
Ge: 0.7366 0.7366 0.7903  3 Zn 2.43
Ge: 0.2634 0.2634 0.2097  3 Zn 2.43

***

# 6
Ca4LaAg: optimized geometry, PBE.

Crystal system = cubic
Calculated density = 2.902 g/cm3
Space-group type = F-43m
ΔH_f (0 K) = 0.3621 eV/atom

Unit cell a=6.9068 b=6.9068 c=6.9068 alpha=60.00 beta=60.00 gamma=60.00
Closest atoms and distances in Å follow each position.
Element x y z (fractional)
Ca: 0.8739 0.3754 0.3754  6 Ca 3.44-3.46
Ca: 0.3754 0.3754 0.8739  6 Ca 3.44-3.46
Ca: 0.3754 0.8739 0.3754  6 Ca 3.44-3.46
Ca: 0.3754 0.3754 0.3754  6 Ca 3.44-3.46
La: 0.7500 0.7500 0.7500  12 Ca 4.05, 4 Ag 4.23
Ag: 0.0000 0.0000 0.0000  12 Ca 4.05, 4 La 4.23

***

# 7
GeAu3I: optimized geometry, PBE.

Crystal system = cubic
Calculated density = 10.360 g/cm3
Space-group type = Pm-3m
Energy above the most stable polymorph in this dataset = 0.000 eV/atom
Raw formation energy = 438.2 meV/atom

Unit cell a=5.0225 b=5.0225 c=5.0225 alpha=90.00 beta=90.00 gamma=90.00
Closest atoms and distances in Å follow each position.
Element x y z (fractional)
I: 0.5000 0.5000 0.5000  12 Au 3.55
Ge: 0.0000 0.0000 0.0000  6 Au 2.51
Au: 0.0000 0.5000 0.0000  2 Ge 2.51
Au: 0.0000 0.0000 0.5000  2 Ge 2.51
Au: 0.5000 0.0000 0.0000  2 Ge 2.51

***

# 8
AlTl2As2: optimized geometry, PBE.

Crystal system = tetragonal
Calculated density = 7.574 g/cm3
Space-group type = P4/mbm
ΔH_f (0 K) = 0.0040 eV/atom

Unit cell a=6.5950 b=6.5950 c=5.9032 alpha=90.00 beta=90.00 gamma=90.00
Closest atoms and distances in Å follow each position.
Element x y z (fractional)
Tl: 0.1914 0.6914 0.5000  6 As 3.37-3.67, 5 Tl 3.39-3.57
Tl: 0.6914 0.8086 0.5000  6 As 3.37-3.67, 5 Tl 3.39-3.57
Tl: 0.8086 0.3086 0.5000  6 As 3.37-3.67, 5 Tl 3.39-3.57
Tl: 0.3086 0.1914 0.5000  6 As 3.37-3.67, 5 Tl 3.39-3.57
As: 0.3651 0.8651 0.0000  1 As 2.52, 2 Al 2.57
As: 0.8651 0.6349 0.0000  1 As 2.52, 2 Al 2.57
As: 0.6349 0.1349 0.0000  1 As 2.52, 2 Al 2.57
As: 0.1349 0.3651 0.0000  1 As 2.52, 2 Al 2.57
Al: 0.0000 0.0000 0.0000  4 As 2.57
Al: 0.5000 0.5000 0.0000  4 As 2.57

***

# 9
BaRhI6: optimized geometry, PBE.

Crystal system = triclinic
Calculated density = 5.048 g/cm3
Space-group type = P-1
Raw formation energy = -645.5 meV/atom

Unit cell a=7.5277 b=7.5859 c=7.9062 alpha=61.91 beta=62.08 gamma=60.37
Closest atoms and distances in Å follow each position.
Element x y z (fractional)
Ba: 0.5000 0.5000 0.5000  6 I 3.54-3.55
Rh: 0.0000 0.0000 0.0000  6 I 2.70
I: 0.0120 0.3957 0.7730  1 Rh 2.70
I: 0.8132 0.0112 0.7736  1 Rh 2.70
I: 0.6039 0.1821 0.2278  1 Rh 2.70
I: 0.1868 0.9888 0.2264  1 Rh 2.70
I: 0.9880 0.6043 0.2270  1 Rh 2.70
I: 0.3961 0.8179 0.7722  1 Rh 2.70

***

# 10
VCrSCl2: optimized geometry, PBE.

Crystal system = tetragonal
Calculated density = 3.212 g/cm3
Space-group type = P4/mmm
Energy above the most stable polymorph in this dataset = 0.180 eV/atom
Raw formation energy = -78.9 meV/atom

Unit cell a=4.6561 b=4.6561 c=4.9106 alpha=90.00 beta=90.00 gamma=90.00
Closest atoms and distances in Å follow each position.
Element x y z (fractional)
Cr: 0.0000 0.0000 0.0000  4 Cl 2.33, 2 S 2.46
S: 0.0000 0.0000 0.5000  2 Cr 2.46
Cl: 0.0000 0.5000 0.0000  2 Cr 2.33
Cl: 0.5000 0.0000 0.0000  2 Cr 2.33
V: 0.5000 0.5000 0.5000  4 S 3.29, 8 Cl 3.38

***

# 11
ThNi9B2: optimized geometry, PBE.

Crystal system = hexagonal
Calculated density = 9.298 g/cm3
Space-group type = P6/mmm
ΔH_f (0 K) = -0.2825 eV/atom

Unit cell a=3.4275 b=6.8587 c=6.8587 alpha=120.00 beta=90.00 gamma=90.00
Closest atoms and distances in Å follow each position.
Element x y z (fractional)
Th: 0.0000 0.0000 0.0000  12 Ni 3.05
Ni: 0.5000 0.7875 0.2125  2 B 2.24, 6 Ni 2.46-2.49
Ni: 0.0000 0.0000 0.5000  2 B 1.98
Ni: 0.0000 0.5000 0.5000  2 B 1.98
Ni: 0.5000 0.7875 0.5751  2 B 2.24, 6 Ni 2.46-2.49
Ni: 0.5000 0.2125 0.7875  2 B 2.24, 6 Ni 2.46-2.49
Ni: 0.5000 0.5751 0.7875  2 B 2.24, 6 Ni 2.46-2.49
Ni: 0.5000 0.2125 0.4249  2 B 2.24, 6 Ni 2.46-2.49
Ni: 0.0000 0.5000 0.0000  2 B 1.98
Ni: 0.5000 0.4249 0.2125  2 B 2.24, 6 Ni 2.46-2.49
B: 0.0000 0.6667 0.3333  3 Ni 1.98
B: 0.0000 0.3333 0.6667  3 Ni 1.98

***

# 12
ReS2BrN: optimized geometry, PBE.

Crystal system = tetragonal
Calculated density = 6.566 g/cm3
Space-group type = P4/mmm
Energy above the most stable polymorph in this dataset = 0.000 eV/atom
Raw formation energy = 453.6 meV/atom

Unit cell a=4.7924 b=4.7924 c=3.7906 alpha=90.00 beta=90.00 gamma=90.00
Closest atoms and distances in Å follow each position.
Element x y z (fractional)
Re: 0.0000 0.0000 0.0000  2 N 1.90
S: 0.0000 0.5000 0.0000  2 Re 2.40
S: 0.5000 0.0000 0.0000  2 Re 2.40
Br: 0.5000 0.5000 0.5000  8 S 3.06, 4 N 3.39
N: 0.0000 0.0000 0.5000  2 Re 1.90